[1]
Density functional theory data (PBE-GGA) for a relaxed YHoAl crystal.

Its polymorph energy (0 for the lowest one) is 1.70 kcal/mol of atoms. For the formation energy, the calculation gives -0.1911 eV/atom. The value obtained for the total magnetic moment is 1.13 Bohr magnetons per cell. As for the crystal system: tetragonal.

It has space group P4/nmm (No. 129, origin choice 2), with a = 4.516 Å, b = 4.516 Å, c = 8.122 Å, α = 90.00°, β = 90.00° and γ = 90.00°. The distinct sites, in fractional coordinates, are Y at (0.250, 0.250, 0.143), Ho at (0.250, 0.750, 0.500) and Al at (0.250, 0.250, 0.765).

=====

[2]
Density functional theory data (PBE-GGA) for a relaxed Ce2TmVN5 crystal.

The value obtained for the total magnetic moment is 3.99 Bohr magnetons per cell. As for the crystal system: orthorhombic. The value obtained for the total energy is -8.768 eV/atom.

It has space group Cmc2_1 (No. 36), with a = 3.437 Å, b = 13.758 Å, c = 10.479 Å, α = 90.00°, β = 90.00° and γ = 90.00°. The distinct sites, in fractional coordinates, are Ce at (0.000, 0.111, 0.000), Ce at (0.000, 0.151, 0.658), Tm at (0.000, 0.193, 0.360), V at (0.000, 0.467, 0.753), N at (0.000, 0.021, 0.328), N at (0.000, 0.282, 0.013), N at (0.000, 0.337, 0.713), N at (0.000, 0.352, 0.330) and N at (0.000, 0.484, 0.098).

=====

[3]
Density functional theory data (PBE-GGA) for a relaxed Cs2NaTe2 crystal.

Its polymorph energy (0 for the lowest one) is 3.62 kcal/mol of atoms. The value obtained for the total magnetic moment is 2.00 Bohr magnetons per cell. As for the crystal system: tetragonal.

It has space group P4/mbm (No. 127), with a = 8.900 Å, b = 8.900 Å, c = 5.754 Å, α = 90.00°, β = 90.00° and γ = 90.00°. The distinct sites, in fractional coordinates, are Cs at (0.155, 0.345, 0.000), Na at (0.000, 0.000, 0.500) and Te at (0.144, 0.644, 0.500).

=====

Number 1: calculated volume 27.61 A^3/atom. Number 2: calculated volume 13.76 A^3/atom. Number 3: calculated volume 45.58 A^3/atom.